DFT (PBE) results for a geometry-optimized TlCuIr2 structure.

CIF file:
```
data_TlCuIr2
_chemical_formula_sum 'Tl1 Cu1 Ir2'
_space_group_name_H-M_alt 'P 1'
_space_group_IT_number 1
_cell_length_a 5.495
_cell_length_b 5.495
_cell_length_c 5.495
_cell_angle_alpha 149.14
_cell_angle_beta 129.49
_cell_angle_gamma 60.37
loop_
_space_group_symop_operation_xyz
'x,y,z'
loop_
_atom_site_label
_atom_site_fract_x
_atom_site_fract_y
_atom_site_fract_z
Ir1 0.001 0.001 0.000
Ir2 0.236 0.736 0.500
Cu1 0.763 0.263 0.500
Tl1 0.501 0.501 0.000
```

Values from the calculation:
- Excess energy over the best structure of this formula in the dataset: 69 kJ/mol of formula units
- Energy: -22.0 eV per formula unit
- DFT formation energy: 0.5410 eV per atom
- Crystal system: orthorhombic
- M_tot: 0.00 μB per formula unit